No. 1
4
Lattice="3.3045 0.0000 0.0000 0.0000 4.5844 0.0000 0.0000 0.0000 4.5844" Properties=species:S:1:pos:R:3 comment="PBE-GGA PaCrRe2, relaxed" e_form_ev_per_atom=0.250 sg="P4/mmm, No. 123" e_above_lowest_polymorph_mev_per_atom=172 m_tot_mub_per_fu=2.1 pbc="T T T"
Re 0.0000 0.0000 2.2922
Re 0.0000 2.2922 0.0000
Pa 1.6522 2.2922 2.2922
Cr 1.6522 0.0000 0.0000


No. 2
4
Lattice="2.8472 0.0000 0.0000 1.4236 2.4658 0.0000 1.4236 0.8219 9.4097" Properties=species:S:1:pos:R:3 comment="PBE-GGA PaCrRe2, relaxed" e_form_ev_per_atom=0.334 sg="R-3m, No. 166" e_above_lowest_polymorph_mev_per_atom=256 m_tot_mub_per_fu=0.0 pbc="T T T"
Re 4.2709 2.4658 7.4182
Re 1.4236 0.8219 1.9915
Pa 2.8472 1.6439 4.7048
Cr 0.0000 0.0000 0.0000


no.,DOS(E_F) (states/eV/f.u.)
1,5.3
2,5.6